1.
Entry from Alexandria via LeMat-Bulk: a geometry-optimized VCdH structure (PBE-GGA). Values from VASP.

Quantum ESPRESSO input file:
```
&SYSTEM
  ibrav = 0, nat = 6, ntyp = 3
/
ATOMIC_SPECIES
V 50.94 V.upf
Cd 112.41 Cd.upf
H 1.01 H.upf
ATOMIC_POSITIONS crystal
V 0.0000 0.0000 0.0000
V 0.2406 0.2406 0.1888
Cd 0.7001 0.7001 0.7045
Cd 0.9580 0.9580 0.4809
H 0.3818 0.3818 0.9831
H 0.6075 0.6075 0.1533
CELL_PARAMETERS angstrom
4.7703 -1.4027 0.0000
4.7703 1.4027 0.0000
-0.2410 0.0000 5.6267
```

Output
E ... -26.01 eV/cell
SG ... Cm

---

2.
Entry from Alexandria via LeMat-Bulk: a geometry-optimized Ta2FeNi structure (PBE-GGA). Values from VASP.

Quantum ESPRESSO input file:
```
&SYSTEM
  ibrav = 0, nat = 4, ntyp = 3
/
ATOMIC_SPECIES
Ta 180.95 Ta.upf
Fe 55.84 Fe.upf
Ni 58.69 Ni.upf
ATOMIC_POSITIONS crystal
Ta 0.2487 0.2487 0.2487
Ta 0.7513 0.7513 0.7513
Fe 0.5000 0.5000 0.5000
Ni 0.0000 0.0000 0.0000
CELL_PARAMETERS angstrom
1.4664 0.8466 8.1362
-1.4664 0.8466 8.1362
0.0000 -1.6932 8.1362
```

Output
E ... -37.17 eV/cell
SG ... R-3m
Formation enthalpy at 0 K ... 0.194 eV/atom

---

3.
Entry from Alexandria via LeMat-Bulk: a geometry-optimized TmTh2Ge4Pt3 structure (PBE-GGA). Values from VASP.

Quantum ESPRESSO input file:
```
&SYSTEM
  ibrav = 0, nat = 10, ntyp = 4
/
ATOMIC_SPECIES
Tm 168.93 Tm.upf
Th 232.04 Th.upf
Ge 72.64 Ge.upf
Pt 195.08 Pt.upf
ATOMIC_POSITIONS crystal
Tm 0.0000 0.0000 0.0000
Th 0.0000 0.5000 0.7333
Th 0.5000 0.0000 0.2667
Ge 0.0000 0.0000 0.5000
Ge 0.0000 0.5000 0.1565
Ge 0.5000 0.0000 0.8435
Ge 0.5000 0.5000 0.5000
Pt 0.0000 0.5000 0.3825
Pt 0.5000 0.0000 0.6175
Pt 0.5000 0.5000 0.0000
CELL_PARAMETERS angstrom
4.3363 0.0000 0.0000
0.0000 4.3363 0.0000
0.0000 0.0000 10.9980
```

Output
E ... -64.79 eV/cell
SG ... P-4m2
Formation enthalpy at 0 K ... -0.888 eV/atom